Entry from Alexandria via LeMat-Bulk: Cs2Te6Ir3 after structural relaxation (GGA-PBE).

Values from the calculation:
* calculated total energy: -4.733 eV/atom
* D(E_F): 10.550 states/eV per cell
* formation energy (no corrections): -0.448 eV per atom
* space group: No. 12
* crystal system: monoclinic

Unit cell a=7.091 b=7.086 c=8.901 alpha=82.40 beta=74.68 gamma=59.97
Fractional coordinates of all 11 atoms:
Ir 0.332 0.336 0.000
Ir 0.668 0.664 0.000
Ir 0.000 0.000 0.000
Cs 0.167 0.666 0.500
Cs 0.833 0.334 0.500
Te 0.715 0.000 0.847
Te 0.285 0.000 0.153
Te 0.384 0.669 0.848
Te 0.616 0.331 0.152
Te 0.053 0.331 0.848
Te 0.947 0.669 0.152



Entry from Alexandria via LeMat-Bulk: TbHfU2As4 after structural relaxation (GGA-PBE).

Values from the calculation:
* energy relative to the elements: -1004 meV/atom
* calculated total energy: -7.973 eV/atom
* D(E_F): 6.926 states/eV per cell
* space group: No. 10
* crystal system: monoclinic

Unit cell a=3.996 b=6.924 c=7.063 alpha=108.99 beta=90.00 gamma=90.00
Last column: magnetic moment on the atom in μB.
Fractional coordinates of all 8 atoms:
U 0.000 0.500 0.500  2.31
U 0.500 0.000 0.500  2.16
Tb 0.500 0.500 0.000  -0.01
As 0.000 0.758 0.245  -0.04
As 0.000 0.242 0.755  -0.04
As 0.500 0.237 0.238  -0.04
As 0.500 0.763 0.762  -0.04
Hf 0.000 0.000 0.000  -0.01



Entry from Alexandria via LeMat-Bulk: TiTcW after structural relaxation (GGA-PBE).

Values from the calculation:
* energy relative to the elements: -239 meV/atom
* calculated total energy: -10.644 eV/atom
* D(E_F): 4.061 states/eV per cell
* space group: No. 164
* crystal system: trigonal

Unit cell a=4.395 b=4.395 c=5.526 alpha=90.00 beta=90.00 gamma=120.00
Fractional coordinates of all 6 atoms:
W 0.667 0.333 0.829
W 0.333 0.667 0.171
Ti 0.000 0.000 0.500
Ti 0.000 0.000 0.000
Tc 0.333 0.667 0.670
Tc 0.667 0.333 0.330



Entry from Alexandria via LeMat-Bulk: K3CdSn after structural relaxation (GGA-PBE).

Values from the calculation:
* energy relative to the elements: -49 meV/atom
* calculated total energy: -1.691 eV/atom
* D(E_F): 4.562 states/eV per cell
* space group: No. 12
* crystal system: monoclinic

Unit cell a=9.015 b=9.015 c=7.951 alpha=108.05 beta=116.38 gamma=109.56
Fractional coordinates of all 10 atoms:
Cd 0.311 0.172 0.483
Cd 0.689 0.828 0.517
Sn 0.643 0.108 0.751
Sn 0.357 0.892 0.249
K 0.188 0.422 0.204
K 0.217 0.984 0.796
K 0.272 0.527 0.799
K 0.728 0.473 0.201
K 0.812 0.578 0.796
K 0.783 0.016 0.204



Entry from Alexandria via LeMat-Bulk: AlTcHg2 after structural relaxation (GGA-PBE).

Values from the calculation:
* energy relative to the elements: 353 meV/atom
* calculated total energy: -3.325 eV/atom
* D(E_F): 3.007 states/eV per cell
* space group: No. 47
* crystal system: orthorhombic

Unit cell a=4.044 b=4.072 c=4.315 alpha=90.00 beta=90.00 gamma=90.00
Last column: magnetic moment on the atom in μB.
Fractional coordinates of all 4 atoms:
Al 0.000 0.500 0.500  -0.01
Hg 0.000 0.000 0.000  -0.01
Hg 0.500 0.500 0.000  -0.01
Tc 0.500 0.000 0.500  0.42



Entry from Alexandria via LeMat-Bulk: Pr3Nd3PuTe8 after structural relaxation (GGA-PBE).

Values from the calculation:
* calculated total energy: -5.949 eV/atom
* D(E_F): 21.015 states/eV per cell
* formation energy (no corrections): -1.408 eV per atom
* space group: No. 166
* crystal system: trigonal

Unit cell a=8.995 b=8.993 c=9.006 alpha=119.95 beta=90.00 gamma=119.99
Last column: magnetic moment on the atom in μB.
Fractional coordinates of all 15 atoms:
Nd 0.500 0.000 0.500  -0.04
Nd 0.500 0.500 0.500  -0.04
Nd 0.000 0.500 0.500  -0.04
Pr 0.000 0.500 0.000  -0.04
Pr 0.500 0.500 0.000  -0.04
Pr 0.000 0.000 0.000  -0.04
Te 0.251 0.502 0.252  0.00
Te 0.252 0.504 0.751  0.02
Te 0.254 0.002 0.250  0.02
Te 0.252 0.998 0.751  0.02
Te 0.748 0.002 0.249  0.02
Te 0.749 0.498 0.748  0.00
Te 0.748 0.496 0.249  0.02
Te 0.746 0.998 0.750  0.02
Pu 0.000 0.000 0.500  -5.51



Entry from Alexandria via LeMat-Bulk: BaPrP2S8 after structural relaxation (GGA-PBE).

Values from the calculation:
* calculated total energy: -5.053 eV/atom
* D(E_F): 13.425 states/eV per cell
* formation energy (no corrections): -0.841 eV per atom
* space group: No. 147
* crystal system: trigonal

Unit cell a=6.108 b=6.108 c=9.531 alpha=90.00 beta=90.00 gamma=120.00
Fractional coordinates of all 12 atoms:
S 0.001 0.355 0.699
S 0.333 0.667 0.975
S 0.646 0.001 0.301
S 0.354 0.999 0.699
S 0.645 0.646 0.699
S 0.999 0.645 0.301
S 0.355 0.354 0.301
S 0.667 0.333 0.025
Pr 0.000 0.000 0.500
P 0.333 0.667 0.761
P 0.667 0.333 0.239
Ba 0.000 0.000 0.000



Entry from Alexandria via LeMat-Bulk: RbTlCrTe3 after structural relaxation (GGA-PBE).

Values from the calculation:
* calculated total energy: -4.082 eV/atom
* D(E_F): 7.589 states/eV per cell
* formation energy (no corrections): -0.351 eV per atom
* space group: No. 63
* crystal system: orthorhombic

Unit cell a=7.500 b=8.111 c=8.878 alpha=117.18 beta=90.00 gamma=90.00
Last column: magnetic moment on the atom in μB.
Fractional coordinates of all 12 atoms:
Cr 0.750 0.946 0.891  2.67
Cr 0.250 0.054 0.109  2.67
Te 0.750 0.782 0.565  -0.12
Te 0.500 0.210 0.000  -0.16
Te 0.500 0.790 0.000  -0.16
Te 0.000 0.790 0.000  -0.16
Te 0.250 0.218 0.435  -0.12
Te 0.000 0.210 0.000  -0.16
Tl 0.750 0.587 0.173  -0.02
Tl 0.250 0.413 0.827  -0.02
Rb 0.750 0.206 0.411  0.00
Rb 0.250 0.794 0.589  0.00



Entry from Alexandria via LeMat-Bulk: Pr2TmPu after structural relaxation (GGA-PBE).

Values from the calculation:
* energy relative to the elements: 132 meV/atom
* calculated total energy: -6.959 eV/atom
* D(E_F): 11.891 states/eV per cell
* space group: No. 160
* crystal system: trigonal

Unit cell a=3.606 b=3.606 c=11.793 alpha=81.21 beta=81.21 gamma=60.00
Last column: magnetic moment on the atom in μB.
Fractional coordinates of all 4 atoms:
Tm 0.500 0.500 0.500  -0.12
Pr 0.250 0.250 0.249  0.04
Pr 0.083 0.083 0.751  0.00
Pu 0.667 0.667 0.999  5.64



Entry from Alexandria via LeMat-Bulk: Y2VRu after structural relaxation (GGA-PBE).

Values from the calculation:
* energy relative to the elements: 64 meV/atom
* calculated total energy: -7.767 eV/atom
* D(E_F): 8.065 states/eV per cell
* space group: No. 8
* crystal system: monoclinic

Unit cell a=4.901 b=3.311 c=11.063 alpha=90.00 beta=100.55 gamma=90.00
Fractional coordinates of all 8 atoms:
Y 0.716 0.500 0.055
Y 0.158 0.000 0.855
Y 0.158 0.500 0.355
Y 0.716 0.000 0.555
Ru 0.242 0.500 0.633
Ru 0.242 0.000 0.133
V 0.624 0.000 0.270
V 0.624 0.500 0.770



Entry from Alexandria via LeMat-Bulk: ThMg2GaAu4 after structural relaxation (GGA-PBE).

Values from the calculation:
* energy relative to the elements: -541 meV/atom
* calculated total energy: -3.884 eV/atom
* D(E_F): 2.801 states/eV per cell
* space group: No. 166
* crystal system: trigonal

Unit cell a=4.557 b=4.557 c=9.459 alpha=76.06 beta=76.06 gamma=60.00
Fractional coordinates of all 8 atoms:
Au 0.393 0.393 0.821
Au 0.607 0.607 0.179
Au 0.127 0.127 0.620
Au 0.873 0.873 0.380
Mg 0.237 0.237 0.289
Mg 0.763 0.763 0.711
Th 0.000 0.000 0.000
Ga 0.500 0.500 0.500



Entry from Alexandria via LeMat-Bulk: Sc2MnI after structural relaxation (GGA-PBE).

Values from the calculation:
* calculated total energy: -5.636 eV/atom
* D(E_F): 7.082 states/eV per cell
* formation energy (no corrections): 0.210 eV per atom
* space group: No. 225
* crystal system: cubic

Unit cell a=4.948 b=4.948 c=4.948 alpha=60.00 beta=60.00 gamma=60.00
Last column: magnetic moment on the atom in μB.
Fractional coordinates of all 4 atoms:
Mn 0.000 0.000 0.000  3.06
I 0.500 0.500 0.500  0.03
Sc 0.750 0.750 0.750  -0.48
Sc 0.250 0.250 0.250  -0.48



Entry from Alexandria via LeMat-Bulk: BeIr3 after structural relaxation (GGA-PBE).

Values from the calculation:
* energy relative to the elements: 38 meV/atom
* calculated total energy: -7.540 eV/atom
* D(E_F): 3.599 states/eV per cell
* space group: No. 25
* crystal system: orthorhombic

Unit cell a=2.783 b=2.780 c=7.052 alpha=90.00 beta=90.00 gamma=90.00
Fractional coordinates of all 4 atoms:
Be 0.000 0.000 0.988
Ir 0.500 0.000 0.727
Ir 0.000 0.500 0.468
Ir 0.500 0.500 0.151



Entry from Alexandria via LeMat-Bulk: Re2Rh3 after structural relaxation (GGA-PBE).

Values from the calculation:
* energy relative to the elements: -115 meV/atom
* calculated total energy: -9.505 eV/atom
* D(E_F): 3.778 states/eV per cell
* space group: No. 139
* crystal system: tetragonal

Unit cell a=2.723 b=2.723 c=9.923 alpha=97.89 beta=97.89 gamma=90.00
Fractional coordinates of all 5 atoms:
Re 0.898 0.898 0.797
Re 0.102 0.102 0.203
Rh 0.697 0.697 0.393
Rh 0.500 0.500 0.000
Rh 0.303 0.303 0.607



Entry from Alexandria via LeMat-Bulk: PmMg11Ag after structural relaxation (GGA-PBE).

Values from the calculation:
* energy relative to the elements: -82 meV/atom
* calculated total energy: -2.016 eV/atom
* D(E_F): 7.042 states/eV per cell
* space group: No. 12
* crystal system: monoclinic

Unit cell a=5.772 b=7.721 c=7.786 alpha=82.40 beta=68.24 gamma=69.08
Fractional coordinates of all 13 atoms:
Mg 0.704 0.784 0.792
Mg 0.355 0.644 0.654
Mg 0.645 0.356 0.346
Mg 0.504 0.216 0.792
Mg 0.000 0.000 0.500
Mg 0.991 0.356 0.654
Mg 0.500 0.000 0.500
Mg 0.000 0.500 0.000
Mg 0.296 0.216 0.208
Mg 0.496 0.784 0.208
Mg 0.009 0.644 0.346
Ag 0.500 0.500 0.000
Pm 0.000 0.000 0.000



Entry from Alexandria via LeMat-Bulk: Tl2ZnPb after structural relaxation (GGA-PBE).

Values from the calculation:
* energy relative to the elements: 165 meV/atom
* calculated total energy: -2.264 eV/atom
* D(E_F): 4.257 states/eV per cell
* space group: No. 122
* crystal system: tetragonal

Unit cell a=8.539 b=8.539 c=6.803 alpha=51.13 beta=51.13 gamma=90.00
Fractional coordinates of all 8 atoms:
Pb 0.750 0.250 0.500
Pb 0.000 0.000 0.000
Tl 0.375 0.419 0.750
Tl 0.875 0.831 0.750
Tl 0.169 0.625 0.250
Tl 0.581 0.125 0.250
Zn 0.500 0.500 0.000
Zn 0.250 0.750 0.500



Entry from Alexandria via LeMat-Bulk: CoAsOs2 after structural relaxation (GGA-PBE).

Values from the calculation:
* energy relative to the elements: 541 meV/atom
* calculated total energy: -8.012 eV/atom
* D(E_F): 4.902 states/eV per cell
* space group: No. 47
* crystal system: orthorhombic

Unit cell a=2.795 b=4.553 c=4.441 alpha=90.00 beta=90.00 gamma=90.00
Last column: magnetic moment on the atom in μB.
Fractional coordinates of all 4 atoms:
Co 0.000 0.500 0.500  1.02
Os 0.500 0.500 0.000  0.10
Os 0.000 0.000 0.000  0.17
As 0.500 0.000 0.500  -0.01



Entry from Alexandria via LeMat-Bulk: MgZr2ZnPd after structural relaxation (GGA-PBE).

Values from the calculation:
* energy relative to the elements: 314 meV/atom
* calculated total energy: -4.718 eV/atom
* D(E_F): 6.363 states/eV per cell
* space group: No. 123
* crystal system: tetragonal

Unit cell a=5.076 b=4.776 c=5.076 alpha=90.00 beta=90.00 gamma=90.00
Fractional coordinates of all 5 atoms:
Zr 0.500 0.000 0.000
Zr 0.000 0.000 0.500
Zn 0.000 0.500 0.000
Pd 0.000 0.000 0.000
Mg 0.500 0.500 0.500



Entry from Alexandria via LeMat-Bulk: ThTlAs after structural relaxation (GGA-PBE).

Values from the calculation:
* energy relative to the elements: -711 meV/atom
* calculated total energy: -5.523 eV/atom
* D(E_F): 5.001 states/eV per cell
* space group: No. 129
* crystal system: tetragonal

Unit cell a=4.302 b=4.302 c=8.785 alpha=90.00 beta=90.00 gamma=90.00
Fractional coordinates of all 6 atoms:
As 0.500 0.000 0.666
As 0.000 0.500 0.334
Th 0.500 0.000 0.329
Th 0.000 0.500 0.671
Tl 0.000 0.000 0.000
Tl 0.500 0.500 0.000



Entry from Alexandria via LeMat-Bulk: NiRh2 after structural relaxation (GGA-PBE).

Values from the calculation:
* energy relative to the elements: 55 meV/atom
* calculated total energy: -6.774 eV/atom
* D(E_F): 20.552 states/eV per cell
* space group: No. 62
* crystal system: orthorhombic

Unit cell a=3.762 b=7.964 c=5.319 alpha=90.00 beta=90.00 gamma=90.00
Last column: magnetic moment on the atom in μB.
Fractional coordinates of all 12 atoms:
Rh 0.250 0.252 0.619  0.30
Rh 0.250 0.919 0.633  0.23
Rh 0.750 0.748 0.381  0.30
Rh 0.250 0.248 0.119  0.30
Rh 0.750 0.419 0.867  0.23
Rh 0.750 0.752 0.881  0.30
Rh 0.250 0.581 0.133  0.23
Rh 0.750 0.081 0.367  0.23
Ni 0.250 0.584 0.625  0.51
Ni 0.750 0.084 0.875  0.51
Ni 0.750 0.416 0.375  0.51
Ni 0.250 0.916 0.125  0.51



Number 1: magnetization 0.000 μB/atom. Number 2: magnetization 0.604 μB/atom. Number 3: magnetization 0.000 μB/atom. Number 4: magnetization 0.000 μB/atom. Number 5: magnetization 0.106 μB/atom. Number 6: magnetization 0.415 μB/atom. Number 7: magnetization 0.002 μB/atom. Number 8: magnetization 0.376 μB/atom. Number 9: magnetization 1.532 μB/atom. Number 10: magnetization 0.000 μB/atom. Number 11: magnetization 0.000 μB/atom. Number 12: magnetization 0.439 μB/atom. Number 13: magnetization 0.000 μB/atom. Number 14: magnetization 0.000 μB/atom. Number 15: magnetization 0.000 μB/atom. Number 16: magnetization 0.000 μB/atom. Number 17: magnetization 0.316 μB/atom. Number 18: magnetization 0.000 μB/atom. Number 19: magnetization 0.000 μB/atom. Number 20: magnetization 0.338 μB/atom.